Density functional theory data (GGA-PBE) for Er4Cu2Hg after structural relaxation.

DFT total energy, eV per atom: -3.90
Crystal system: trigonal
Magnetization, μB/cell: 0.0
Density of states at the Fermi level, states/eV/atom: 1.24
E_form, meV/atom: -79
Space-group type: R-3m, No. 166
Density, g/cm3: 9.293
Excess energy over the best structure of this formula in the dataset, eV/atom: 0.107

Lattice parameters (Å, degrees): 4.767 4.767 9.461 75.41 75.41 60.00
Element x y z (fractional)
Er (0.385, 0.385, 0.846)
Er (0.202, 0.202, 0.393)
Er (0.798, 0.798, 0.607)
Er (0.615, 0.615, 0.154)
Cu (0.099, 0.099, 0.704)
Cu (0.901, 0.901, 0.296)
Hg (0.000, 0.000, 0.000)

Density functional theory data (GGA-PBE) for Ti2CoSnP after structural relaxation.

DFT total energy, eV per atom: -6.53
Crystal system: tetragonal
Magnetization, μB/cell: 0.0
Density of states at the Fermi level, states/eV/atom: 0.91
E_form, meV/atom: -71
Space-group type: P4/mmm, No. 123
Density, g/cm3: 5.690

Lattice parameters (Å, degrees): 4.680 4.056 4.680 90.00 90.00 90.00
Element x y z (fractional)
P (0.000, 0.500, 0.000)
Co (0.000, 0.000, 0.000)
Sn (0.500, 0.500, 0.500)
Ti (0.000, 0.000, 0.500)
Ti (0.500, 0.000, 0.000)